(1)
DFT (GGA-PBE) results for a relaxed structure of BeAgSeO.

```
8
Lattice="3.854 0.000 0.000 0.000 3.854 0.000 0.000 0.000 8.508" Properties=species:S:1:pos:R:3 pbc="T T T"
Ag 2.890 2.890 3.331
Ag 0.963 0.963 5.177
Be 2.890 2.890 0.867
Be 0.963 0.963 7.641
O 2.890 0.963 4.254
O 0.963 2.890 4.254
Se 0.963 0.963 1.276
Se 2.890 2.890 7.231
```

Computed properties:
Energy above the most stable polymorph in this dataset, meV/atom: 1177.5

(2)
DFT (GGA-PBE) results for a relaxed structure of BeAgSeO.

```
8
Lattice="1.738 4.447 -0.634 -3.866 1.135 -2.639 -2.792 1.783 4.858" Properties=species:S:1:pos:R:3 pbc="T T T"
Ag -1.797 3.260 -0.360
Ag -2.059 1.315 3.582
Be -0.916 0.585 1.594
Be -2.940 3.990 1.628
O -0.252 0.161 0.438
O -3.604 4.414 2.783
Se -0.527 3.115 2.112
Se -3.329 1.459 1.110
```

Computed properties:
Energy above the most stable polymorph in this dataset, meV/atom: 742.1

(3)
DFT (GGA-PBE) results for a relaxed structure of BeAgSeO.

```
16
Lattice="6.060 0.000 0.000 0.000 6.984 0.000 0.000 0.000 5.961" Properties=species:S:1:pos:R:3 pbc="T T T"
Ag 0.985 0.899 2.641
Ag 4.015 6.085 2.641
Ag 2.045 0.899 5.621
Ag 5.075 6.085 5.621
Be 5.630 2.354 0.224
Be 2.600 4.630 0.224
Be 3.460 2.354 3.204
Be 0.430 4.630 3.204
O 0.099 1.005 0.662
O 3.129 5.979 0.662
O 2.931 1.005 3.642
O 5.961 5.979 3.642
Se 3.500 2.691 0.943
Se 0.470 4.293 0.943
Se 5.590 2.691 3.924
Se 2.560 4.293 3.924
```

Computed properties:
Energy above the most stable polymorph in this dataset, meV/atom: 483.8

(4)
DFT (GGA-PBE) results for a relaxed structure of BeAgTeO.

```
16
Lattice="7.124 0.000 0.000 0.000 5.756 0.000 0.000 0.000 7.649" Properties=species:S:1:pos:R:3 pbc="T T T"
Ag 1.723 1.762 0.262
Ag 5.402 4.640 3.563
Ag 1.840 3.994 4.086
Ag 5.285 1.116 7.388
Be 3.245 4.240 1.895
Be 3.879 1.362 1.930
Be 0.317 1.516 5.719
Be 6.807 4.394 5.755
O 3.496 2.788 1.891
O 3.628 5.666 1.933
O 0.066 2.969 5.716
O 7.059 0.091 5.758
Te 0.377 4.311 1.790
Te 6.747 1.433 2.034
Te 3.185 1.445 5.615
Te 3.940 4.323 5.859
```

Computed properties:
Energy above the most stable polymorph in this dataset, meV/atom: 30.2